(1)
A relaxed structure of DyBe2Ga2, computed with GGA-PBE.

Cell and atoms, written as POSCAR:
```
DyBe2Ga2
1.0
3.944 0.000 0.000
0.000 3.944 0.000
0.000 0.000 9.834
Dy Be Ga
2 4 4
direct
0.250 0.250 0.245
0.750 0.750 0.755
0.250 0.250 0.639
0.250 0.750 0.000
0.750 0.250 0.000
0.750 0.750 0.361
0.250 0.250 0.870
0.250 0.750 0.500
0.750 0.250 0.500
0.750 0.750 0.130
```

formation enthalpy at 0 K = -0.378 eV/atom
total moment = 0.0 μB/f.u.
total energy = -4.000 eV per atom
symmetry = P4/nmm (129)

(2)
A relaxed structure of NaCdAsPb, computed with GGA-PBE.

Cell and atoms, written as POSCAR:
```
NaCdAsPb
1.0
7.462 0.000 0.000
0.000 7.462 0.000
0.000 0.000 7.462
Na Cd As Pb
4 4 4 4
direct
0.000 0.000 0.000
0.000 0.500 0.500
0.500 0.000 0.500
0.500 0.500 0.000
0.250 0.250 0.250
0.250 0.750 0.750
0.750 0.250 0.750
0.750 0.750 0.250
0.250 0.250 0.750
0.250 0.750 0.250
0.750 0.250 0.250
0.750 0.750 0.750
0.000 0.000 0.500
0.000 0.500 0.000
0.500 0.000 0.000
0.500 0.500 0.500
```

formation enthalpy at 0 K = -0.066 eV/atom
total moment = 0.0 μB/f.u.
total energy = -2.714 eV per atom
symmetry = F-43m (216)

(3)
A relaxed structure of CrTe3H, computed with GGA-PBE.

Cell and atoms, written as POSCAR:
```
CrTe3H
1.0
7.281 0.000 0.000
0.000 3.598 0.000
-3.253 0.000 9.323
Cr Te H
2 6 2
direct
0.092 0.250 0.324
0.908 0.750 0.676
0.137 0.250 0.865
0.197 0.750 0.545
0.330 0.750 0.257
0.670 0.250 0.743
0.803 0.250 0.455
0.863 0.750 0.135
0.357 0.250 0.831
0.643 0.750 0.169
```

total moment = 1.7 μB/f.u.
total energy = -4.415 eV per atom
symmetry = P2_1/m (11)